# 1
Entry from the Alexandria database: an optimized crystal structure of SrMgGa2Cu2 (PBE-GGA).

Cell lengths 4.3435, 4.3435, 7.3405 Å; angles 90.00, 90.00, 120.00 degrees
With the nearest neighbours (Å) after each atom.
Fractional coordinates of all 6 atoms:
Sr (0.0000, 0.0000, 0.0000)  6 Ga 3.35, 6 Cu 3.49, 2 Mg 3.67
Mg (0.0000, 0.0000, 0.5000)  6 Cu 2.80, 6 Ga 2.89
Ga (0.3333, 0.6667, 0.3032)  4 Cu 2.52-2.69
Ga (0.6667, 0.3333, 0.6968)  4 Cu 2.52-2.69
Cu (0.3333, 0.6667, 0.6696)  4 Ga 2.52-2.69, 3 Mg 2.80
Cu (0.6667, 0.3333, 0.3304)  4 Ga 2.52-2.69, 3 Mg 2.80

The volume is 19.99 Å³ per atom. The total energy comes out at -3.23 eV/atom. The total magnetic moment comes out at 0.00 Bohr magnetons per cell. Its crystal system is trigonal.

***

# 2
Entry from the Alexandria database: an optimized crystal structure of Sr2MgGa4Cu3 (PBE-GGA).

Cell lengths 4.3270, 4.3270, 10.8922 Å; angles 90.00, 90.00, 90.00 degrees
With the nearest neighbours (Å) after each atom.
Fractional coordinates of all 10 atoms:
Sr (0.0000, 0.5000, 0.2388)  8 Ga 3.30-3.38, 6 Cu 3.31-3.57, 2 Mg 3.57
Sr (0.5000, 0.0000, 0.7612)  8 Ga 3.30-3.38, 6 Cu 3.31-3.57, 2 Mg 3.57
Mg (0.0000, 0.0000, 0.5000)  4 Ga 2.69
Ga (0.0000, 0.0000, 0.0000)  4 Cu 2.54
Ga (0.0000, 0.5000, 0.6475)  3 Cu 2.51-2.69, 2 Mg 2.69
Ga (0.5000, 0.0000, 0.3525)  3 Cu 2.51-2.69, 2 Mg 2.69
Ga (0.5000, 0.5000, 0.0000)  4 Cu 2.54
Cu (0.0000, 0.5000, 0.8779)  5 Ga 2.51-2.54
Cu (0.5000, 0.0000, 0.1221)  5 Ga 2.51-2.54
Cu (0.5000, 0.5000, 0.5000)  4 Ga 2.69

The volume is 20.39 Å³ per atom. The total energy comes out at -3.22 eV/atom. The total magnetic moment comes out at 0.00 Bohr magnetons per cell. Its crystal system is tetragonal.

***

# 3
Entry from the Alexandria database: an optimized crystal structure of MgTaGa2Cu (PBE-GGA).

Cell lengths 4.6985, 4.6985, 4.9846 Å; angles 90.00, 90.00, 90.00 degrees
With the nearest neighbours (Å) after each atom.
Fractional coordinates of all 5 atoms:
Mg (0.0000, 0.0000, 0.0000)  4 Ga 2.35, 2 Ta 2.49
Ta (0.0000, 0.0000, 0.5000)  2 Mg 2.49
Ga (0.0000, 0.5000, 0.0000)  2 Mg 2.35
Ga (0.5000, 0.0000, 0.0000)  2 Mg 2.35
Cu (0.5000, 0.5000, 0.5000)  4 Ta 3.32, 8 Ga 3.42

The volume is 22.01 Å³ per atom. The total energy comes out at -3.30 eV/atom. The total magnetic moment comes out at 0.00 Bohr magnetons per cell. Its crystal system is tetragonal.

***

# 4
Entry from the Alexandria database: an optimized crystal structure of TbMg2GaCu2 (PBE-GGA).

Cell lengths 6.2912, 6.2912, 6.2912 Å; angles 133.64, 133.64, 67.65 degrees
With the nearest neighbours (Å) after each atom.
Fractional coordinates of all 6 atoms:
Tb (0.0000, 0.0000, 0.0000)  2 Cu 2.90
Mg (0.2500, 0.7500, 0.5000)  4 Cu 2.49
Mg (0.7500, 0.2500, 0.5000)  4 Cu 2.49
Ga (0.5000, 0.5000, 0.0000)  2 Cu 2.32
Cu (0.2777, 0.2777, 0.0000)  1 Ga 2.32, 4 Mg 2.49
Cu (0.7223, 0.7223, 0.0000)  1 Ga 2.32, 4 Mg 2.49

The volume is 21.37 Å³ per atom. The total energy comes out at -3.15 eV/atom. The total magnetic moment comes out at 0.00 Bohr magnetons per cell. Its crystal system is tetragonal.

***

# 5
Entry from the Alexandria database: an optimized crystal structure of TbMgGa5Cu2 (PBE-GGA).

Cell lengths 4.2387, 4.2387, 10.6226 Å; angles 90.00, 90.00, 90.00 degrees
With the nearest neighbours (Å) after each atom.
Fractional coordinates of all 9 atoms:
Tb (0.0000, 0.0000, 0.0000)  4 Ga 3.00
Mg (0.0000, 0.0000, 0.5000)  8 Ga 2.87
Ga (0.0000, 0.5000, 0.3181)  2 Cu 2.40
Ga (0.0000, 0.5000, 0.6819)  2 Cu 2.40
Ga (0.5000, 0.0000, 0.3181)  2 Cu 2.40
Ga (0.5000, 0.0000, 0.6819)  2 Cu 2.40
Ga (0.5000, 0.5000, 0.0000)  2 Cu 2.25
Cu (0.5000, 0.5000, 0.2115)  5 Ga 2.25-2.40
Cu (0.5000, 0.5000, 0.7885)  5 Ga 2.25-2.40

The volume is 21.21 Å³ per atom. The total energy comes out at -3.27 eV/atom. The total magnetic moment comes out at 0.00 Bohr magnetons per cell. Its crystal system is tetragonal.

***

# 6
Entry from the Alexandria database: an optimized crystal structure of Tb2MgGa3Cu4 (PBE-GGA).

Cell lengths 4.1376, 4.1376, 10.4581 Å; angles 90.00, 90.00, 90.00 degrees
With the nearest neighbours (Å) after each atom.
Fractional coordinates of all 10 atoms:
Tb (0.0000, 0.5000, 0.2322)  6 Ga 3.13-3.48, 8 Cu 3.19, 2 Mg 3.48
Tb (0.5000, 0.0000, 0.7678)  6 Ga 3.13-3.48, 8 Cu 3.19, 2 Mg 3.48
Mg (0.0000, 0.0000, 0.5000)  4 Cu 2.57
Ga (0.0000, 0.5000, 0.8742)  5 Cu 2.39-2.45
Ga (0.5000, 0.0000, 0.1258)  5 Cu 2.39-2.45
Ga (0.5000, 0.5000, 0.5000)  4 Cu 2.57
Cu (0.0000, 0.0000, 0.0000)  4 Ga 2.45
Cu (0.0000, 0.5000, 0.6461)  3 Ga 2.39-2.57, 2 Mg 2.57
Cu (0.5000, 0.0000, 0.3539)  3 Ga 2.39-2.57, 2 Mg 2.57
Cu (0.5000, 0.5000, 0.0000)  4 Ga 2.45

The volume is 17.90 Å³ per atom. The total energy comes out at -4.00 eV/atom. The total magnetic moment comes out at 0.00 Bohr magnetons per cell. Its crystal system is tetragonal.

***

# 7
Entry from the Alexandria database: an optimized crystal structure of TbMgGaCu (PBE-GGA).

Cell lengths 4.7899, 4.7899, 4.7899 Å; angles 60.00, 60.00, 60.00 degrees
With the nearest neighbours (Å) after each atom.
Fractional coordinates of all 4 atoms:
Tb (0.0000, 0.0000, 0.0000)  4 Cu 2.93, 4 Ga 2.93
Mg (0.5000, 0.5000, 0.5000)  4 Ga 2.93, 4 Cu 2.93
Ga (0.7500, 0.7500, 0.7500)  4 Mg 2.93, 4 Tb 2.93
Cu (0.2500, 0.2500, 0.2500)  4 Mg 2.93, 4 Tb 2.93

The volume is 19.43 Å³ per atom. The total energy comes out at -3.71 eV/atom. The total magnetic moment comes out at 0.00 Bohr magnetons per cell. Its crystal system is cubic.

***

# 8
Entry from the Alexandria database: an optimized crystal structure of TbMgGa2Cu5 (PBE-GGA).

Cell lengths 4.4853, 4.4853, 7.5106 Å; angles 90.00, 90.00, 90.00 degrees
With the nearest neighbours (Å) after each atom.
Fractional coordinates of all 9 atoms:
Tb (0.0000, 0.0000, 0.0000)  8 Cu 2.80
Mg (0.0000, 0.0000, 0.5000)  8 Cu 3.06, 8 Ga 3.40
Ga (0.5000, 0.5000, 0.3370)  5 Cu 2.40-2.53, 1 Ga 2.45
Ga (0.5000, 0.5000, 0.6630)  5 Cu 2.40-2.53, 1 Ga 2.45
Cu (0.0000, 0.5000, 0.2223)  2 Ga 2.40
Cu (0.0000, 0.5000, 0.7777)  2 Ga 2.40
Cu (0.5000, 0.0000, 0.2223)  2 Ga 2.40
Cu (0.5000, 0.0000, 0.7777)  2 Ga 2.40
Cu (0.5000, 0.5000, 0.0000)  2 Ga 2.53, 8 Cu 2.80

The volume is 16.79 Å³ per atom. The total energy comes out at -3.69 eV/atom. The total magnetic moment comes out at 0.00 Bohr magnetons per cell. Its crystal system is tetragonal.

***

# 9
Entry from the Alexandria database: an optimized crystal structure of ThMgGaCu (PBE-GGA).

Cell lengths 4.9185, 4.9185, 4.9185 Å; angles 60.00, 60.00, 60.00 degrees
With the nearest neighbours (Å) after each atom.
Fractional coordinates of all 4 atoms:
Th (0.0000, 0.0000, 0.0000)  4 Cu 3.01, 4 Ga 3.01
Mg (0.5000, 0.5000, 0.5000)  4 Cu 3.01, 4 Ga 3.01
Ga (0.7500, 0.7500, 0.7500)  4 Th 3.01, 4 Mg 3.01
Cu (0.2500, 0.2500, 0.2500)  4 Th 3.01, 4 Mg 3.01

The volume is 21.03 Å³ per atom. The total energy comes out at -4.30 eV/atom. The total magnetic moment comes out at 0.00 Bohr magnetons per cell. Its crystal system is cubic.

***

# 10
Entry from the Alexandria database: an optimized crystal structure of ThMgGa2Cu (PBE-GGA).

Cell lengths 5.1540, 6.5589, 5.9945 Å; angles 90.00, 90.00, 90.00 degrees
With the nearest neighbours (Å) after each atom.
Fractional coordinates of all 10 atoms:
Th (0.2500, 0.0000, 0.2469)  6 Ga 3.08-3.38, 2 Mg 3.37
Th (0.7500, 0.0000, 0.7531)  6 Ga 3.08-3.38, 2 Mg 3.37
Mg (0.2500, 0.5000, 0.3741)  2 Cu 2.59, 2 Ga 2.80
Mg (0.7500, 0.5000, 0.6259)  2 Cu 2.59, 2 Ga 2.80
Ga (0.2500, 0.2561, 0.7572)  2 Cu 2.52, 1 Mg 2.80
Ga (0.2500, 0.7439, 0.7572)  2 Cu 2.52, 1 Mg 2.80
Ga (0.7500, 0.2561, 0.2428)  2 Cu 2.52, 1 Mg 2.80
Ga (0.7500, 0.7439, 0.2428)  2 Cu 2.52, 1 Mg 2.80
Cu (0.0000, 0.5000, 0.0000)  4 Ga 2.52, 2 Cu 2.58, 2 Mg 2.59
Cu (0.5000, 0.5000, 0.0000)  4 Ga 2.52, 2 Cu 2.58, 2 Mg 2.59

The volume is 20.26 Å³ per atom. The total energy comes out at -4.05 eV/atom. The total magnetic moment comes out at 0.00 Bohr magnetons per cell. Its crystal system is orthorhombic.

***

# 11
Entry from the Alexandria database: an optimized crystal structure of Th2MgGa4Cu3 (PBE-GGA).

Cell lengths 4.2199, 4.2199, 10.6259 Å; angles 90.00, 90.00, 90.00 degrees
With the nearest neighbours (Å) after each atom.
Fractional coordinates of all 10 atoms:
Th (0.0000, 0.5000, 0.2371)  6 Cu 3.21-3.50, 8 Ga 3.22-3.29, 2 Mg 3.50
Th (0.5000, 0.0000, 0.7629)  6 Cu 3.21-3.50, 8 Ga 3.22-3.29, 2 Mg 3.50
Mg (0.0000, 0.0000, 0.5000)  4 Ga 2.63
Ga (0.0000, 0.0000, 0.0000)  4 Cu 2.49
Ga (0.0000, 0.5000, 0.6484)  3 Cu 2.41-2.63, 2 Mg 2.63
Ga (0.5000, 0.0000, 0.3516)  3 Cu 2.41-2.63, 2 Mg 2.63
Ga (0.5000, 0.5000, 0.0000)  4 Cu 2.49
Cu (0.0000, 0.5000, 0.8748)  5 Ga 2.41-2.49
Cu (0.5000, 0.0000, 0.1252)  5 Ga 2.41-2.49
Cu (0.5000, 0.5000, 0.5000)  4 Ga 2.63

The volume is 18.92 Å³ per atom. The total energy comes out at -4.49 eV/atom. The total magnetic moment comes out at 0.00 Bohr magnetons per cell. Its crystal system is tetragonal.

***

# 12
Entry from the Alexandria database: an optimized crystal structure of MgTiGaCu (PBE-GGA).

Cell lengths 4.4711, 4.4711, 4.4711 Å; angles 60.00, 60.00, 60.00 degrees
With the nearest neighbours (Å) after each atom.
Fractional coordinates of all 4 atoms:
Mg (0.0000, 0.0000, 0.0000)  4 Cu 2.74, 4 Ga 2.74
Ti (0.5000, 0.5000, 0.5000)  4 Cu 2.74, 4 Ga 2.74
Ga (0.2500, 0.2500, 0.2500)  4 Mg 2.74, 4 Ti 2.74
Cu (0.7500, 0.7500, 0.7500)  4 Mg 2.74, 4 Ti 2.74

The volume is 15.80 Å³ per atom. The total energy comes out at -4.32 eV/atom. The total magnetic moment comes out at 0.00 Bohr magnetons per cell. Its crystal system is cubic.